[1]
A plane-wave DFT calculation with PBE was carried out for a geometry-optimized CuGe2P structure.

## Properties
Its density is 4.8 g/cm3. For the energy of formation from the pure elements, the calculation gives 63.3 kJ/mol of formula units. The calculation puts the calculated total energy at -4.521 eV/atom.

Cell lengths 5.723, 5.723, 6.520 Å; angles 63.97, 63.97, 90.00 degrees
Atoms (fractional coordinates):
P 0.500 0.500 0.000
P 0.250 0.750 0.500
Ge 0.629 0.125 0.250
Ge 0.121 0.625 0.250
Ge 0.375 0.371 0.750
Ge 0.875 0.879 0.750
Cu 0.000 0.000 0.000
Cu 0.750 0.250 0.500

[2]
A plane-wave DFT calculation with PBE was carried out for a geometry-optimized LaPrBr6 structure.

## Properties
Its density is 4.0 g/cm3. The uncorrected formation energy is -15.10 eV/f.u. The calculation puts the calculated total energy at -4.356 eV/atom. Its offset from the most stable computed form is 8.4 meV/atom.

Cell lengths 7.311, 7.311, 7.959 Å; angles 62.66, 62.66, 60.00 degrees
Atoms (fractional coordinates):
La 0.500 0.500 0.500
Pr 0.000 0.000 0.000
Br 0.088 0.410 0.751
Br 0.751 0.088 0.751
Br 0.590 0.249 0.249
Br 0.249 0.912 0.249
Br 0.912 0.590 0.249
Br 0.410 0.751 0.751

[3]
A plane-wave DFT calculation with PBE was carried out for a geometry-optimized KHgW2 structure.

## Properties
Its density is 12.0 g/cm3. For the energy of formation from the pure elements, the calculation gives 585.7 kJ/mol of formula units. The calculation puts the calculated total energy at -5.309 eV/atom.

Cell lengths 2.684, 5.570, 5.604 Å; angles 90.00, 90.00, 90.00 degrees
Atoms (fractional coordinates):
Hg 0.500 0.500 0.250
K 0.500 0.500 0.750
W 0.000 0.000 0.993
W 0.000 0.000 0.507

[4]
A plane-wave DFT calculation with PBE was carried out for a geometry-optimized Ba2MoP structure.

## Properties
Its density is 5.1 g/cm3. For the energy of formation from the pure elements, the calculation gives 17.3 kJ/mol of formula units. The calculation puts the calculated total energy at -4.977 eV/atom.

Cell lengths 7.295, 7.295, 7.295 Å; angles 147.65, 140.30, 52.11 degrees
Atoms (fractional coordinates):
Ba 0.990 0.990 0.000
Ba 0.260 0.760 0.500
Mo 0.580 0.580 0.000
P 0.670 0.170 0.500

[5]
A plane-wave DFT calculation with PBE was carried out for a geometry-optimized YZnGaN2 structure.

## Properties
Its density is 3.8 g/cm3. The uncorrected formation energy is 4.56 eV/f.u. The calculation puts the calculated total energy at -4.571 eV/atom.

Cell lengths 4.395, 5.740, 4.395 Å; angles 90.00, 90.00, 90.00 degrees
Last column: magnetic moment on the atom in μB.
Atoms (fractional coordinates):
Y 0.000 0.000 0.000  -0.06
Zn 0.000 0.500 0.000  0.00
Ga 0.500 0.500 0.500  0.00
N 0.000 0.000 0.500  -0.02
N 0.500 0.000 0.000  0.05

[6]
A plane-wave DFT calculation with PBE was carried out for a geometry-optimized CaScTl structure.

## Properties
Its density is 5.7 g/cm3. For the energy of formation from the pure elements, the calculation gives -62.3 kJ/mol of formula units. The calculation puts the calculated total energy at -3.782 eV/atom. Its offset from the most stable computed form is 71.5 meV/atom.

Cell lengths 3.765, 12.390, 3.763 Å; angles 90.00, 89.99, 107.69 degrees
Last column: magnetic moment on the atom in μB.
Atoms (fractional coordinates):
Sc 0.568 0.295 0.835  0.15
Sc 0.923 0.150 0.335  0.17
Ca 0.267 0.494 0.335  -0.01
Ca 0.609 0.835 0.335  0.00
Tl 0.288 0.015 0.835  0.00
Tl 0.931 0.658 0.835  0.00

Q: Which of these has the lowest calculated total energy?
A: KHgW2